Computed, not measured: a relaxed Mg3Zn8Ni4 crystal at the GGA-PBE level of DFT.

Unit cell a=8.4831 b=8.4831 c=8.4831 alpha=60.00 beta=60.00 gamma=60.00
Closest atoms and distances in Å follow each position.
Sites, in units of the cell vectors:
1 Mg 0.2177 0.2177 0.7823  1 Ni 2.61, 8 Zn 2.82
2 Mg 0.2177 0.7823 0.2177  1 Ni 2.61, 8 Zn 2.82
3 Mg 0.2177 0.7823 0.7823  1 Ni 2.61, 8 Zn 2.82
4 Mg 0.7823 0.2177 0.2177  1 Ni 2.61, 8 Zn 2.82
5 Mg 0.7823 0.2177 0.7823  1 Ni 2.61, 8 Zn 2.82
6 Mg 0.7823 0.7823 0.2177  1 Ni 2.61, 8 Zn 2.82
7 Zn 0.1367 0.6211 0.6211  4 Ni 2.52-2.63, 3 Zn 2.70
8 Zn 0.1617 0.1617 0.1617  3 Ni 2.45, 3 Zn 2.70
9 Zn 0.1617 0.1617 0.5150  3 Ni 2.45, 3 Zn 2.70
10 Zn 0.1617 0.5150 0.1617  3 Ni 2.45, 3 Zn 2.70
11 Zn 0.3789 0.3789 0.3789  4 Ni 2.52-2.63, 3 Zn 2.70
12 Zn 0.3789 0.3789 0.8633  4 Ni 2.52-2.63, 3 Zn 2.70
13 Zn 0.3789 0.8633 0.3789  4 Ni 2.52-2.63, 3 Zn 2.70
14 Zn 0.4850 0.8383 0.8383  3 Ni 2.45, 3 Zn 2.70
15 Zn 0.5150 0.1617 0.1617  3 Ni 2.45, 3 Zn 2.70
16 Zn 0.6211 0.1367 0.6211  4 Ni 2.52-2.63, 3 Zn 2.70
17 Zn 0.6211 0.6211 0.1367  4 Ni 2.52-2.63, 3 Zn 2.70
18 Zn 0.6211 0.6211 0.6211  4 Ni 2.52-2.63, 3 Zn 2.70
19 Zn 0.8383 0.4850 0.8383  3 Ni 2.45, 3 Zn 2.70
20 Zn 0.8383 0.8383 0.4850  3 Ni 2.45, 3 Zn 2.70
21 Zn 0.8383 0.8383 0.8383  3 Ni 2.45, 3 Zn 2.70
22 Zn 0.8633 0.3789 0.3789  4 Ni 2.52-2.63, 3 Zn 2.70
23 Ni 0.0000 0.0000 0.0000  6 Mg 2.61
24 Ni 0.0000 0.0000 0.5000  8 Zn 2.45-2.63
25 Ni 0.0000 0.5000 0.0000  8 Zn 2.45-2.63
26 Ni 0.0000 0.5000 0.5000  8 Zn 2.45-2.63
27 Ni 0.5000 0.0000 0.0000  8 Zn 2.45-2.63
28 Ni 0.5000 0.0000 0.5000  8 Zn 2.45-2.63
29 Ni 0.5000 0.5000 0.0000  8 Zn 2.45-2.63
30 Ni 0.5000 0.5000 0.5000  8 Zn 2.52

Values from the calculation:
Total DFT energy (no corrections): -2.73 eV/atom


Computed, not measured: a relaxed LiAg3Bi crystal at the GGA-PBE level of DFT.

Unit cell a=6.5806 b=6.5806 c=5.4400 alpha=90.00 beta=90.00 gamma=120.00
Closest atoms and distances in Å follow each position.
Sites, in units of the cell vectors:
1 Li 0.0000 0.0000 0.0000  6 Ag 2.54, 2 Li 2.72
2 Li 0.0000 0.0000 0.5000  6 Ag 2.54, 2 Li 2.72
3 Ag 0.1885 0.3771 0.2500  2 Li 2.54
4 Ag 0.1885 0.8115 0.2500  2 Li 2.54
5 Ag 0.3771 0.1885 0.7500  2 Li 2.54
6 Ag 0.6229 0.8115 0.2500  2 Li 2.54
7 Ag 0.8115 0.1885 0.7500  2 Li 2.54
8 Ag 0.8115 0.6229 0.7500  2 Li 2.54
9 Bi 0.3333 0.6667 0.7500  12 Ag 3.18-3.30
10 Bi 0.6667 0.3333 0.2500  12 Ag 3.18-3.30

Values from the calculation:
Polymorph energy (0 for the lowest one): 246 meV per atom


Computed, not measured: a relaxed BeTe2 crystal at the GGA-PBE level of DFT.

Unit cell a=3.9204 b=3.9204 c=5.1935 alpha=90.00 beta=90.00 gamma=120.00
Closest atoms and distances in Å follow each position.
Sites, in units of the cell vectors:
1 Be 0.0000 0.0000 0.0000  6 Te 2.64
2 Te 0.3333 0.6667 0.2635  3 Be 2.64
3 Te 0.6667 0.3333 0.7365  3 Be 2.64

Values from the calculation:
Uncorrected formation energy: 0.10 eV per atom
Polymorph energy (0 for the lowest one): 245 meV per atom


Computed, not measured: a relaxed CeTa2H8 crystal at the GGA-PBE level of DFT.

Unit cell a=4.9765 b=4.9765 c=4.8894 alpha=91.10 beta=91.10 gamma=119.98
Closest atoms and distances in Å follow each position.
Sites, in units of the cell vectors:
1 Ce 0.0000 0.0000 0.0000  8 H 2.27-2.52
2 Ta 0.3898 0.7215 0.5261  7 H 1.84-1.92
3 Ta 0.7215 0.3898 0.5261  7 H 1.84-1.92
4 H 0.0461 0.4484 0.2847  2 Ta 1.92
5 H 0.0591 0.7930 0.6047  2 Ta 1.89
6 H 0.3478 0.3478 0.6691  2 Ta 1.91
7 H 0.4269 0.7744 0.9019  1 Ta 1.84
8 H 0.4484 0.0461 0.2847  2 Ta 1.92
9 H 0.6073 0.6073 0.2736  2 Ta 1.91
10 H 0.7744 0.4269 0.9019  1 Ta 1.84
11 H 0.7930 0.0591 0.6047  2 Ta 1.89

Values from the calculation:
Polymorph energy (0 for the lowest one): 19 meV per atom


Computed, not measured: a relaxed KTiIN2 crystal at the GGA-PBE level of DFT.

Unit cell a=4.7943 b=4.7943 c=6.5133 alpha=90.00 beta=90.00 gamma=90.00
Closest atoms and distances in Å follow each position.
Sites, in units of the cell vectors:
1 K 0.0000 0.0000 0.0000  4 N 2.40
2 Ti 0.5000 0.5000 0.5000  4 I 3.39
3 I 0.0000 0.0000 0.5000  2 K 3.26, 4 Ti 3.39
4 N 0.0000 0.5000 0.0000  2 K 2.40
5 N 0.5000 0.0000 0.0000  2 K 2.40

Values from the calculation:
Uncorrected formation energy: 2.11 eV per atom
Polymorph energy (0 for the lowest one): 2029 meV per atom


Computed, not measured: a relaxed TcWS4 crystal at the GGA-PBE level of DFT.

Unit cell a=7.4790 b=7.4790 c=5.5366 alpha=103.50 beta=103.50 gamma=123.88
Closest atoms and distances in Å follow each position.
Sites, in units of the cell vectors:
1 Tc 0.1577 0.8423 0.7500  4 S 2.31
2 Tc 0.8423 0.1577 0.2500  4 S 2.31
3 W 0.0590 0.9410 0.2500  6 S 2.40-2.46
4 W 0.9410 0.0590 0.7500  6 S 2.40-2.46
5 S 0.0249 0.4184 0.7157  1 Tc 2.31, 1 W 2.46
6 S 0.2102 0.3194 0.2475  1 Tc 2.31, 2 W 2.40-2.44
7 S 0.3194 0.2102 0.7475  1 Tc 2.31, 2 W 2.40-2.44
8 S 0.4184 0.0249 0.2157  1 Tc 2.31, 1 W 2.46
9 S 0.5816 0.9751 0.7843  1 Tc 2.31, 1 W 2.46
10 S 0.6806 0.7898 0.2525  1 Tc 2.31, 2 W 2.40-2.44
11 S 0.7898 0.6806 0.7525  1 Tc 2.31, 2 W 2.40-2.44
12 S 0.9751 0.5816 0.2843  1 Tc 2.31, 1 W 2.46

Values from the calculation:
Uncorrected formation energy: -0.40 eV per atom


Computed, not measured: a relaxed ScFe3Te crystal at the GGA-PBE level of DFT.

Unit cell a=4.5749 b=4.5749 c=4.5749 alpha=90.00 beta=90.00 gamma=90.00
Closest atoms and distances in Å follow each position.
Sites, in units of the cell vectors:
1 Sc 0.0000 0.0000 0.0000  6 Fe 2.29
2 Fe 0.0000 0.0000 0.5000  2 Sc 2.29
3 Fe 0.0000 0.5000 0.0000  2 Sc 2.29
4 Fe 0.5000 0.0000 0.0000  2 Sc 2.29
5 Te 0.5000 0.5000 0.5000  12 Fe 3.23

Values from the calculation:
Uncorrected formation energy: 1.26 eV per atom
Polymorph energy (0 for the lowest one): 189 meV per atom


Computed, not measured: a relaxed FeAs2Cl crystal at the GGA-PBE level of DFT.

Unit cell a=7.1867 b=7.1867 c=7.1867 alpha=28.12 beta=28.12 gamma=28.12
Closest atoms and distances in Å follow each position.
Sites, in units of the cell vectors:
1 Fe 0.0000 0.0000 0.0000  6 As 2.36
2 As 0.2742 0.2742 0.2742  3 Fe 2.36
3 As 0.7258 0.7258 0.7258  3 Fe 2.36
4 Cl 0.5000 0.5000 0.5000  6 As 3.00

Values from the calculation:
Uncorrected formation energy: 0.04 eV per atom
Polymorph energy (0 for the lowest one): 175 meV per atom